1.
A plane-wave DFT calculation with GGA-PBE was carried out for a relaxed structure of Dy2Er4Tl3H2.

Summary:
V (A^3/atom): 24.52
Calculated density (g/cm3): 9.91
Spin magnetization (μB/f.u.): 0.00
Final energy (eV per atom): -4.024

The structure in extended XYZ format:
```
11
Lattice="-2.3554 2.3554 12.1556 2.3554 -2.3554 12.1556 2.3554 2.3554 -12.1556" Properties=species:S:1:pos:R:3 pbc="T T T"
Dy 0.0000 0.0000 4.7845
Dy 0.0000 0.0000 19.5267
Er 2.3554 0.0000 2.0403
Er 2.3554 0.0000 10.1153
Er 0.0000 2.3554 2.0403
Er 0.0000 2.3554 10.1153
Tl 0.0000 0.0000 7.9315
Tl 0.0000 0.0000 12.1556
Tl 0.0000 0.0000 16.3797
H 0.0000 0.0000 2.4498
H 0.0000 0.0000 21.8614
```

=====

2.
A plane-wave DFT calculation with GGA-PBE was carried out for a relaxed structure of CaHg3P.

Summary:
V (A^3/atom): 42.14
Calculated density (g/cm3): 5.30
Spin magnetization (μB/f.u.): 1.67
ΔH_f (0 K) (meV per atom): 686

The structure in extended XYZ format:
```
5
Lattice="5.9506 0.0000 0.0000 0.0000 5.9506 0.0000 0.0000 0.0000 5.9506" Properties=species:S:1:pos:R:3 pbc="T T T"
Ca 0.0000 0.0000 0.0000
Hg 0.0000 0.0000 2.9753
Hg 0.0000 2.9753 0.0000
Hg 2.9753 0.0000 0.0000
P 2.9753 2.9753 2.9753
```

=====

3.
A plane-wave DFT calculation with GGA-PBE was carried out for a relaxed structure of CeDyNiHg.

Summary:
V (A^3/atom): 23.60
Calculated density (g/cm3): 9.89
Spin magnetization (μB/f.u.): 0.66
ΔH_f (0 K) (meV per atom): -239

The structure in extended XYZ format:
```
4
Lattice="0.0000 3.6137 3.6137 3.6137 0.0000 3.6137 3.6137 3.6137 0.0000" Properties=species:S:1:pos:R:3 pbc="T T T"
Ce 0.0000 0.0000 0.0000
Dy 3.6137 3.6137 3.6137
Ni 5.4206 5.4206 5.4206
Hg 1.8069 1.8069 1.8069
```

=====

4.
A plane-wave DFT calculation with GGA-PBE was carried out for a relaxed structure of PuZnN.

Summary:
V (A^3/atom): 15.44
Calculated density (g/cm3): 11.59
Spin magnetization (μB/f.u.): 5.13
Final energy (eV per atom): -8.726

The structure in extended XYZ format:
```
6
Lattice="3.4896 0.0000 0.0000 0.0000 3.4896 0.0000 0.0000 0.0000 7.6092" Properties=species:S:1:pos:R:3 pbc="T T T"
Pu 0.8724 0.8724 1.2345
Pu 2.6172 2.6172 6.3746
Zn 0.8724 0.8724 4.3375
Zn 2.6172 2.6172 3.2716
N 0.8724 0.8724 6.5030
N 2.6172 2.6172 1.1062
```